#w
## NdDy2Tm9 (GGA-PBE)

Data for an optimized crystal structure of NdDy2Tm9.

a = 11.0955 Å, b = 11.0955 Å, c = 3.4862 Å
α = 90.00°, β = 90.00°, γ = 120.00°
Closest atoms and distances in Å follow each position.
Fractional positions:
Nd  0.0000  0.0000  0.0000  2 Nd 3.49, 12 Tm 3.85
Dy  0.3333  0.6667  0.0000  9 Tm 3.20-3.45, 2 Dy 3.49
Dy  0.6667  0.3333  0.0000  9 Tm 3.20-3.45, 2 Dy 3.49
Tm  0.0000  0.5000  0.0000  2 Dy 3.20, 10 Tm 3.49-3.55
Tm  0.1784  0.3567  0.5000  8 Tm 3.43-3.55, 2 Dy 3.45
Tm  0.1784  0.8216  0.5000  8 Tm 3.43-3.55, 2 Dy 3.45
Tm  0.3567  0.1784  0.5000  8 Tm 3.43-3.55, 2 Dy 3.45
Tm  0.5000  0.0000  0.0000  2 Dy 3.20, 10 Tm 3.49-3.55
Tm  0.5000  0.5000  0.0000  2 Dy 3.20, 10 Tm 3.49-3.55
Tm  0.6433  0.8216  0.5000  8 Tm 3.43-3.55, 2 Dy 3.45
Tm  0.8216  0.1784  0.5000  8 Tm 3.43-3.55, 2 Dy 3.45
Tm  0.8216  0.6433  0.5000  8 Tm 3.43-3.55, 2 Dy 3.45

#x
## NdDy2Tm9 (GGA-PBE)

Data for an optimized crystal structure of NdDy2Tm9.

a = 4.9678 Å, b = 4.9678 Å, c = 14.8983 Å
α = 90.00°, β = 90.00°, γ = 90.00°
Closest atoms and distances in Å follow each position.
Fractional positions:
Nd  0.0000  0.0000  0.0000  12 Tm 3.51-3.53
Dy  0.0000  0.0000  0.3341  12 Tm 3.50-3.51
Dy  0.0000  0.0000  0.6659  12 Tm 3.50-3.51
Tm  0.0000  0.5000  0.1688  2 Dy 3.50, 8 Tm 3.50-3.53, 2 Nd 3.53
Tm  0.0000  0.5000  0.5000  8 Tm 3.50-3.51, 4 Dy 3.50
Tm  0.0000  0.5000  0.8312  2 Dy 3.50, 8 Tm 3.50-3.53, 2 Nd 3.53
Tm  0.5000  0.0000  0.1688  2 Dy 3.50, 8 Tm 3.50-3.53, 2 Nd 3.53
Tm  0.5000  0.0000  0.5000  8 Tm 3.50-3.51, 4 Dy 3.50
Tm  0.5000  0.0000  0.8312  2 Dy 3.50, 8 Tm 3.50-3.53, 2 Nd 3.53
Tm  0.5000  0.5000  0.0000  4 Nd 3.51, 8 Tm 3.53
Tm  0.5000  0.5000  0.3348  8 Tm 3.50, 4 Dy 3.51
Tm  0.5000  0.5000  0.6652  8 Tm 3.50, 4 Dy 3.51

Energetically preferred structure: #x | next structure: +0.018 eV/atom

#w
## Nd4Dy5Tm2 (GGA-PBE)

Data for an optimized crystal structure of Nd4Dy5Tm2.

a = 9.9817 Å, b = 9.9817 Å, c = 6.6452 Å
α = 90.83°, β = 90.83°, γ = 32.89°
Closest atoms and distances in Å follow each position.
Fractional positions:
Nd  0.0193  0.0193  0.2889  1 Nd 2.91, 1 Dy 3.08
Nd  0.3064  0.3064  0.9303  6 Dy 3.29-3.68, 2 Nd 3.68
Nd  0.6936  0.6936  0.0697  6 Dy 3.29-3.68, 2 Nd 3.68
Nd  0.9807  0.9807  0.7111  1 Nd 2.91, 1 Dy 3.08
Dy  0.1301  0.1301  0.8905  5 Nd 3.08-3.42
Dy  0.2084  0.2084  0.4023  4 Dy 3.49-3.70, 4 Nd 3.60-3.69, 3 Tm 3.68-3.72
Dy  0.5000  0.5000  0.0000  6 Nd 3.43-3.73, 2 Tm 3.53, 4 Dy 3.84
Dy  0.7916  0.7916  0.5977  4 Dy 3.49-3.70, 4 Nd 3.60-3.69, 3 Tm 3.68-3.72
Dy  0.8699  0.8699  0.1095  5 Nd 3.08-3.42
Tm  0.4026  0.4026  0.4462  6 Dy 3.53-3.72, 6 Nd 3.64-3.87, 1 Tm 3.79
Tm  0.5974  0.5974  0.5538  6 Dy 3.53-3.72, 6 Nd 3.64-3.87, 1 Tm 3.79

#x
## Nd4Dy5Tm2 (GGA-PBE)

Data for an optimized crystal structure of Nd4Dy5Tm2.

a = 12.5034 Å, b = 12.5034 Å, c = 12.5034 Å
α = 163.92°, β = 136.47°, γ = 46.69°
Closest atoms and distances in Å follow each position.
Fractional positions:
Nd  0.0963  0.0963  0.0000  1 Tm 3.07, 4 Nd 3.40
Nd  0.2054  0.5000  0.7054  4 Dy 3.24-3.54, 6 Nd 3.40-3.50
Nd  0.7946  0.5000  0.2946  4 Dy 3.24-3.54, 6 Nd 3.40-3.50
Nd  0.9037  0.9037  0.0000  1 Tm 3.07, 4 Nd 3.40
Dy  0.1487  0.3504  0.7983  1 Tm 3.34, 3 Nd 3.49-3.54, 2 Dy 3.50
Dy  0.4479  0.6496  0.7983  1 Tm 3.34, 3 Nd 3.49-3.54, 2 Dy 3.50
Dy  0.5000  0.0000  0.5000  4 Nd 3.24, 2 Dy 3.50
Dy  0.5521  0.3504  0.2017  1 Tm 3.34, 3 Nd 3.49-3.54, 2 Dy 3.50
Dy  0.8513  0.6496  0.2017  1 Tm 3.34, 3 Nd 3.49-3.54, 2 Dy 3.50
Tm  0.2301  0.2301  0.0000  1 Nd 3.07, 2 Dy 3.34
Tm  0.7699  0.7699  0.0000  1 Nd 3.07, 2 Dy 3.34

Energetically preferred structure: #w | next structure: +0.174 eV/atom

#w
## Nd5Dy2Tm2 (GGA-PBE)

Data for an optimized crystal structure of Nd5Dy2Tm2.

a = 10.4157 Å, b = 10.4157 Å, c = 10.4157 Å
α = 86.78°, β = 103.53°, γ = 145.32°
Closest atoms and distances in Å follow each position.
Fractional positions:
Nd  0.1595  0.4882  0.9592  4 Nd 3.21-3.53, 2 Dy 3.26-3.52, 3 Tm 3.42-3.58
Nd  0.1595  0.7003  0.1713  4 Nd 3.21-3.53, 2 Dy 3.26-3.52, 3 Tm 3.42-3.58
Nd  0.1983  0.0485  0.2468  5 Nd 3.38-3.62, 2 Tm 3.51-3.59, 1 Dy 3.69
Nd  0.1983  0.4515  0.6498  5 Nd 3.38-3.62, 2 Tm 3.51-3.59, 1 Dy 3.69
Nd  0.5291  0.2003  0.0408  4 Nd 3.21-3.53, 2 Dy 3.26-3.52, 3 Tm 3.42-3.58
Nd  0.5291  0.9882  0.8287  4 Nd 3.21-3.53, 2 Dy 3.26-3.52, 3 Tm 3.42-3.58
Nd  0.5786  0.5045  0.5741  3 Dy 3.33-3.60, 4 Nd 3.42-3.65, 2 Tm 3.44
Nd  0.8017  0.5485  0.3502  5 Nd 3.38-3.62, 2 Tm 3.51-3.59, 1 Dy 3.69
Nd  0.8017  0.9515  0.7532  5 Nd 3.38-3.62, 2 Tm 3.51-3.59, 1 Dy 3.69
Nd  0.9304  0.0045  0.4259  3 Dy 3.33-3.60, 4 Nd 3.42-3.65, 2 Tm 3.44
Dy  0.2225  0.0288  0.6937  5 Nd 3.33-3.60, 2 Tm 3.46
Dy  0.3351  0.5288  0.3063  5 Nd 3.33-3.60, 2 Tm 3.46
Dy  0.4126  0.4126  0.0000  2 Nd 3.26, 2 Tm 3.46
Dy  0.4126  0.9126  0.5000  2 Nd 3.26, 2 Tm 3.46
Tm  0.7986  0.2128  0.3143  6 Nd 3.42-3.59, 2 Dy 3.46, 1 Tm 3.46
Tm  0.7986  0.9843  0.0858  6 Nd 3.42-3.59, 2 Dy 3.46, 1 Tm 3.46
Tm  0.8984  0.4843  0.6857  6 Nd 3.42-3.59, 2 Dy 3.46, 1 Tm 3.46
Tm  0.8984  0.7128  0.9142  6 Nd 3.42-3.59, 2 Dy 3.46, 1 Tm 3.46

#x
## Nd5Dy2Tm2 (GGA-PBE)

Data for an optimized crystal structure of Nd5Dy2Tm2.

a = 8.0727 Å, b = 8.0727 Å, c = 8.0713 Å
α = 107.59°, β = 107.59°, γ = 36.86°
Closest atoms and distances in Å follow each position.
Fractional positions:
Nd  0.0000  0.0000  0.0000  2 Dy 3.60, 6 Nd 3.60-3.62, 4 Tm 3.63
Nd  0.2228  0.2228  0.3359  6 Nd 3.58-3.64, 3 Tm 3.59-3.63, 3 Dy 3.61-3.63
Nd  0.3336  0.3336  0.9988  7 Nd 3.60-3.64, 2 Tm 3.61-3.64, 3 Dy 3.63-3.64
Nd  0.6664  0.6664  0.0012  7 Nd 3.60-3.64, 2 Tm 3.61-3.64, 3 Dy 3.63-3.64
Nd  0.7772  0.7772  0.6641  6 Nd 3.58-3.64, 3 Tm 3.59-3.63, 3 Dy 3.61-3.63
Dy  0.1086  0.1086  0.6647  1 Dy 3.54, 4 Tm 3.57, 7 Nd 3.60-3.64
Dy  0.8914  0.8914  0.3353  1 Dy 3.54, 4 Tm 3.57, 7 Nd 3.60-3.64
Tm  0.4457  0.4457  0.6625  1 Tm 3.53, 4 Dy 3.57, 7 Nd 3.59-3.64
Tm  0.5543  0.5543  0.3375  1 Tm 3.53, 4 Dy 3.57, 7 Nd 3.59-3.64

Energetically preferred structure: #x | next structure: +0.152 eV/atom